Here is an optimized crystal structure of Tl12Sn3Pb from Alexandria via LeMat-Bulk. Energies are from PBE.

POSCAR file:
```
Tl12Sn3Pb
1.0
5.1511 0.0000 0.0000
0.0000 5.1511 0.0000
0.0000 0.0000 18.1024
Tl Sn Pb
12 3 1
Cartesian
2.5756 2.5756 0.0000
2.5756 2.5756 4.5743
2.5756 2.5756 9.0512
2.5756 2.5756 13.5281
2.5756 0.0000 2.3270
2.5756 0.0000 6.8016
2.5756 0.0000 11.3008
2.5756 0.0000 15.7754
0.0000 2.5756 2.3270
0.0000 2.5756 6.8016
0.0000 2.5756 11.3008
0.0000 2.5756 15.7754
0.0000 0.0000 4.5400
0.0000 0.0000 9.0512
0.0000 0.0000 13.5624
0.0000 0.0000 0.0000
```

symmetry = P4/mmm
VASP energy = -2.7289 eV per atom
total moment = 0.00 μB per formula unit

=====

Here is an optimized crystal structure of Na3NdCl6 from Alexandria via LeMat-Bulk. Energies are from PBE.

POSCAR file:
```
Na3NdCl6
1.0
0.0000 5.4129 5.4129
5.4129 0.0000 5.4129
5.4129 5.4129 0.0000
Na Nd Cl
3 1 6
Cartesian
8.1194 8.1194 8.1194
2.7065 2.7065 2.7065
5.4129 5.4129 5.4129
0.0000 0.0000 0.0000
5.4129 2.7101 5.4129
2.7101 5.4129 5.4129
5.4129 8.1158 5.4129
5.4129 5.4129 2.7101
5.4129 5.4129 8.1158
8.1158 5.4129 5.4129
```

symmetry = Fm-3m
VASP energy = -3.8083 eV per atom
formation energy from raw total energies = -1828 meV per atom
total moment = 0.00 μB per formula unit

=====

Here is an optimized crystal structure of Zn2InNi from Alexandria via LeMat-Bulk. Energies are from PBE.

POSCAR file:
```
Zn2InNi
1.0
4.1356 0.0000 0.0000
0.0000 3.0206 -0.3898
0.0000 0.6570 5.0140
In Ni Zn
1 1 2
Cartesian
0.0000 1.5006 2.6352
2.0678 3.1360 3.3920
0.0000 2.6694 -0.1157
2.0678 1.2310 0.6350
```

symmetry = Pm
VASP energy = -2.7824 eV per atom
total moment = 0.00 μB per formula unit

=====

Here is an optimized crystal structure of Ce2Ni4Ge3As from Alexandria via LeMat-Bulk. Energies are from PBE.

POSCAR file:
```
Ce2Ni4Ge3As
1.0
4.1946 0.0000 0.0000
0.0000 4.1946 0.0000
0.0000 0.0000 9.4206
Ce Ni Ge As
2 4 3 1
Cartesian
2.0973 0.0000 2.3127
0.0000 2.0973 7.1079
2.0973 2.0973 0.0000
0.0000 0.0000 0.0000
2.0973 0.0000 5.8449
0.0000 2.0973 3.5757
0.0000 0.0000 4.7103
2.0973 0.0000 8.2105
0.0000 2.0973 1.2100
2.0973 2.0973 4.7103
```

symmetry = P-4m2
VASP energy = -6.0640 eV per atom
total moment = 0.00 μB per formula unit

=====

Here is an optimized crystal structure of NbInAs2 from Alexandria via LeMat-Bulk. Energies are from PBE.

POSCAR file:
```
NbInAs2
1.0
-1.0204 2.8256 -1.6067
0.7554 0.4556 -3.2907
-7.3522 -2.7827 -3.8366
Nb In As
1 1 2
Cartesian
-0.1865 2.1822 -3.2679
-3.7879 0.2603 -4.3607
-5.8490 -1.9805 -3.3804
-1.6024 0.2857 -2.0919
```

symmetry = R3m
VASP energy = -5.7396 eV per atom
total moment = 0.00 μB per formula unit

=====

Here is an optimized crystal structure of Rb2PuCl4 from Alexandria via LeMat-Bulk. Energies are from PBE.

POSCAR file:
```
Rb2PuCl4
1.0
-1.8701 -0.4487 3.7619
-5.3758 -1.0435 -5.1693
5.4244 -6.8465 1.8799
Cl Rb Pu
4 2 1
Cartesian
-3.0895 -5.8396 0.1401
1.2681 -2.4991 0.3323
-2.4544 -1.0984 1.0214
0.6329 -7.2403 -0.5490
0.9061 -5.2889 2.1921
-2.7275 -3.0498 -1.7196
0.0000 0.0000 0.0000
```

symmetry = C2/m
VASP energy = -5.2224 eV per atom
formation energy from raw total energies = -1843 meV per atom
total moment = 6.00 μB per formula unit

=====

Here is an optimized crystal structure of KBiPS2 from Alexandria via LeMat-Bulk. Energies are from PBE.

POSCAR file:
```
KBiPS2
1.0
5.3950 0.0000 0.0000
0.0000 5.3950 0.0000
0.0000 0.0000 5.4288
S P K Bi
2 1 1 1
Cartesian
0.0000 2.6975 0.0000
2.6975 0.0000 0.0000
0.0000 0.0000 2.7144
2.6975 2.6975 2.7144
0.0000 0.0000 0.0000
```

symmetry = P4/mmm
VASP energy = -3.5727 eV per atom
formation energy from raw total energies = 156 meV per atom
E above lowest polymorph = 0.000 eV per atom
total moment = 2.08 μB per formula unit

=====

Here is an optimized crystal structure of Sm4ErTm8 from Alexandria via LeMat-Bulk. Energies are from PBE.

POSCAR file:
```
Sm4ErTm8
1.0
-6.5749 1.4594 8.5673
0.3182 -9.6559 -5.0419
7.5423 0.9277 -1.3007
Sm Er Tm
4 1 8
Cartesian
0.0000 0.0000 0.0000
0.1591 -4.8279 -2.5209
-3.1283 -4.0983 1.7627
-3.2874 0.7297 4.2837
3.9302 -4.3641 -3.1713
-1.0721 -6.3171 0.2533
2.3577 -0.9517 1.9715
-1.2705 -1.3992 2.5994
-0.7737 -0.1591 6.3642
2.5561 -5.8697 -0.3746
-0.6087 -5.1672 3.7491
1.8943 -2.1016 -1.5243
2.0593 -7.1098 -4.1394
```

symmetry = R-3m
VASP energy = -4.0347 eV per atom
total moment = 0.94 μB per formula unit

=====

Here is an optimized crystal structure of RbSr3Sc from Alexandria via LeMat-Bulk. Energies are from PBE.

POSCAR file:
```
RbSr3Sc
1.0
-2.4657 4.4083 -3.9283
-2.8444 -4.6173 -3.3961
-5.1744 0.4376 3.7388
Sc Sr Rb
1 3 1
Cartesian
-5.2422 0.1143 -1.7928
-1.4222 -2.3087 -1.6981
-2.5872 0.2188 1.8694
-1.2328 2.2042 -1.9642
0.0000 0.0000 0.0000
```

symmetry = Pm-3m
VASP energy = -1.3811 eV per atom
E above lowest polymorph = 0.603 eV per atom
total moment = 2.52 μB per formula unit

=====

Here is an optimized crystal structure of Tb3Nd6Tm2Sc from Alexandria via LeMat-Bulk. Energies are from PBE.

POSCAR file:
```
Tb3Nd6Tm2Sc
1.0
-6.0603 -1.1648 -0.8789
4.0388 -0.8022 -4.6799
2.3030 -10.3043 5.1360
Tb Nd Tm Sc
3 6 2 1
Cartesian
3.5065 -6.0148 -1.4782
-3.2251 -6.2565 1.0554
0.1407 -6.1357 -0.2114
-1.4550 -9.3143 0.3187
-0.9516 -4.0102 -2.9108
1.7365 -2.9570 -0.7415
1.8861 -9.1944 -0.9388
1.2330 -8.2611 2.4881
-1.6047 -3.0770 0.5160
0.6715 -0.9231 -3.4126
-2.6930 -1.0439 -2.1463
0.0000 0.0000 0.0000
```

symmetry = C2/m
VASP energy = -4.7895 eV per atom
total moment = 0.00 μB per formula unit

=====

Here is an optimized crystal structure of SrBeTc3 from Alexandria via LeMat-Bulk. Energies are from PBE.

POSCAR file:
```
SrBeTc3
1.0
-1.5755 -2.4551 3.7744
1.5151 -4.0547 -2.0050
4.2401 0.5366 2.1189
Sr Tc Be
1 3 1
Cartesian
0.0000 0.0000 0.0000
0.7576 -2.0273 -1.0025
2.1200 0.2683 1.0595
-0.7878 -1.2276 1.8872
2.0898 -2.9866 1.9442
```

symmetry = Pm-3m
VASP energy = -4.0974 eV per atom
E above lowest polymorph = 2.260 eV per atom
total moment = 3.34 μB per formula unit

=====

Here is an optimized crystal structure of Pm4Tm5Pu from Alexandria via LeMat-Bulk. Energies are from PBE.

POSCAR file:
```
Pm4Tm5Pu
1.0
-1.8924 0.7829 2.8550
-0.3123 -10.9543 2.7969
7.7198 3.1441 2.0927
Pm Tm Pu
4 5 1
Cartesian
5.1232 -4.9479 4.7526
0.9441 -8.1117 2.8502
0.3919 -2.0793 2.9920
4.5710 1.0844 4.8944
3.1109 -2.0258 4.7795
2.6963 -7.2409 5.9348
2.8188 0.2137 1.8098
-1.1023 -5.0857 2.8260
2.4042 -5.0015 2.9651
-0.9462 0.3915 1.4275
```

symmetry = C2/m
VASP energy = -5.4897 eV per atom
total moment = 6.35 μB per formula unit

=====

What is the formula in the first record?
Tl12Sn3Pb

=====

Which formula does entry 7 have?
KBiPS2